(1)
Material: LiMo6Cl13
Method: DFT, PBE
State: relaxed

Cell: 11.7796 9.4098 14.3267 Å, 70.43 66.86 50.99°
Positions (direct):
Cl: 0.6806 0.5076 0.2129
Cl: 0.3388 0.3872 0.0472
Cl: 0.0977 0.9931 0.6944
Cl: 0.0828 0.2732 0.2395
Cl: 0.8153 0.4683 0.7158
Cl: 0.8200 0.7601 0.0269
Cl: 0.5297 0.7078 0.5852
Cl: 0.4703 0.2922 0.4148
Cl: 0.6612 0.6128 0.9528
Cl: 0.1979 0.3029 0.6495
Cl: 0.5111 0.0198 0.7806
Cl: 0.1847 0.5317 0.2842
Cl: 0.1800 0.2399 0.9731
Cl: 0.9023 0.0069 0.3056
Cl: 0.9172 0.7268 0.7605
Cl: 0.6717 0.1650 0.8558
Cl: 0.3099 0.8178 0.9043
Cl: 0.7354 0.8847 0.5556
Cl: 0.3194 0.4924 0.7871
Cl: 0.8021 0.6971 0.3505
Cl: 0.1160 0.7171 0.4920
Cl: 0.8840 0.2829 0.5080
Cl: 0.4889 0.9802 0.2194
Cl: 0.2646 0.1153 0.4444
Cl: 0.3283 0.8350 0.1442
Cl: 0.6901 0.1822 0.0957
Mo: 0.4164 0.9223 0.9598
Mo: 0.3253 0.1166 0.1016
Mo: 0.7977 0.5883 0.5353
Mo: 0.9566 0.7198 0.4161
Mo: 0.6747 0.8834 0.8984
Mo: 0.4217 0.2148 0.9092
Mo: 0.5836 0.0777 0.0402
Mo: 0.9632 0.5985 0.6093
Mo: 0.2023 0.4117 0.4647
Mo: 0.5783 0.7852 0.0908
Mo: 0.0368 0.4015 0.3907
Mo: 0.0434 0.2802 0.5839
Li: 0.3332 0.7530 0.7440
Li: 0.6668 0.2470 0.2560

Output
* energy: -0.40979 Ry per atom
* space-group type: P-1
* DOS(E_F): 0.00 states/eV per atom

***

(2)
Material: LiMoCl3
Method: DFT, PBE
State: relaxed

Cell: 4.6411 4.6411 4.6411 Å, 90.00 90.00 90.00°
Site moments in Bohr magnetons follow the coordinates.
Positions (direct):
Li: 0.0000 0.0000 0.0000  0.00
Mo: 0.5000 0.5000 0.5000  3.54
Cl: 0.5000 0.0000 0.0000  -0.02
Cl: 0.0000 0.0000 0.5000  -0.02
Cl: 0.0000 0.5000 0.0000  -0.06

Output
* energy: -0.28403 Ry per atom
* space-group type: Pm-3m
* DOS(E_F): 1.14 states/eV per atom
* relative energy among the computed polymorphs: 393.0 meV/atom

***

no.,ΔE_f (raw) (eV/atom)
1,-1.030
2,-0.207